# 1
Density functional theory data (PBE) for a relaxed structure of Ho2Er2Ga.

Cell: 4.1806 4.1806 17.3371 Å, 90.00 90.00 90.00°
Positions (direct):
Ho  0.0000  0.5000  0.2500
Ho  0.0000  0.5000  0.7500
Ho  0.5000  0.0000  0.2500
Ho  0.5000  0.0000  0.7500
Er  0.0000  0.0000  0.0878
Er  0.0000  0.0000  0.9122
Er  0.5000  0.5000  0.4122
Er  0.5000  0.5000  0.5878
Ga  0.0000  0.0000  0.5000
Ga  0.5000  0.5000  0.0000

Values from the calculation:
DOS(E_F)   1.129 states/eV/atom
Uncorrected energy   -3.918 eV/atom
Volume   30.301 A^3/atom

=====

# 2
Density functional theory data (PBE) for a relaxed structure of Ho3Er2Ga4.

Cell: 7.9187 7.9730 7.2415 Å, 90.00 106.16 90.00°
Positions (direct):
Ho  0.0000  0.0000  0.0000
Ho  0.0000  0.5000  0.5000
Ho  0.2631  0.1730  0.7471
Ho  0.2631  0.3270  0.2471
Ho  0.7369  0.6730  0.7529
Ho  0.7369  0.8270  0.2529
Er  0.3146  0.6890  0.9293
Er  0.3146  0.8110  0.4293
Er  0.6854  0.1890  0.5707
Er  0.6854  0.3110  0.0707
Ga  0.0173  0.6284  0.1195
Ga  0.0173  0.8716  0.6195
Ga  0.4179  0.0290  0.1403
Ga  0.4179  0.4710  0.6403
Ga  0.5821  0.5290  0.3597
Ga  0.5821  0.9710  0.8597
Ga  0.9828  0.1284  0.3805
Ga  0.9828  0.3716  0.8805

Values from the calculation:
DOS(E_F)   0.677 states/eV/atom
Volume   24.397 A^3/atom
Polymorph energy (0 for the lowest one)   0.0000 eV per atom

=====

# 3
Density functional theory data (PBE) for a relaxed structure of Ho4ErGa15.

Cell: 4.2653 4.2653 21.2322 Å, 90.00 90.00 90.00°
Positions (direct):
Ho  0.0000  0.0000  0.1001
Ho  0.0000  0.0000  0.3003
Ho  0.0000  0.0000  0.6997
Ho  0.0000  0.0000  0.8999
Er  0.0000  0.0000  0.5000
Ga  0.0000  0.5000  0.0000
Ga  0.0000  0.5000  0.2001
Ga  0.0000  0.5000  0.4004
Ga  0.0000  0.5000  0.5996
Ga  0.0000  0.5000  0.7999
Ga  0.5000  0.0000  0.0000
Ga  0.5000  0.0000  0.2001
Ga  0.5000  0.0000  0.4004
Ga  0.5000  0.0000  0.5996
Ga  0.5000  0.0000  0.7999
Ga  0.5000  0.5000  0.1001
Ga  0.5000  0.5000  0.3000
Ga  0.5000  0.5000  0.5000
Ga  0.5000  0.5000  0.7000
Ga  0.5000  0.5000  0.8999

Values from the calculation:
DOS(E_F)   0.400 states/eV/atom
Uncorrected energy   -3.945 eV/atom
Volume   19.314 A^3/atom

=====

# 4
Density functional theory data (PBE) for a relaxed structure of Ho3Er4Ga4.

Cell: 9.0706 9.0706 9.0706 Å, 150.65 127.75 61.06°
Positions (direct):
Ho  0.0000  0.0000  0.0000
Ho  0.3868  0.8868  0.5000
Ho  0.6132  0.1132  0.5000
Er  0.0349  0.3309  0.7039
Er  0.3730  0.6691  0.7039
Er  0.6270  0.3309  0.2961
Er  0.9651  0.6691  0.2961
Ga  0.2145  0.2145  0.0000
Ga  0.3342  0.5000  0.8342
Ga  0.6658  0.5000  0.1658
Ga  0.7855  0.7855  0.0000

Values from the calculation:
DOS(E_F)   0.944 states/eV/atom
Uncorrected energy   -4.336 eV/atom
Volume   26.077 A^3/atom

=====

# 5
Density functional theory data (PBE) for a relaxed structure of Ho3Er2Ga4.

Cell: 8.3197 8.3197 8.6645 Å, 90.00 90.00 131.33°
Positions (direct):
Ho  0.0000  0.0000  0.0000
Ho  0.0383  0.4617  0.2500
Ho  0.4617  0.0383  0.7500
Ho  0.5000  0.5000  0.5000
Ho  0.5383  0.9617  0.2500
Ho  0.9617  0.5383  0.7500
Er  0.1083  0.8917  0.4243
Er  0.3917  0.6083  0.9243
Er  0.6083  0.3917  0.0757
Er  0.8917  0.1083  0.5757
Ga  0.1923  0.8077  0.0370
Ga  0.2295  0.2705  0.2500
Ga  0.2705  0.2295  0.7500
Ga  0.3077  0.6923  0.5370
Ga  0.6923  0.3077  0.4630
Ga  0.7295  0.7705  0.2500
Ga  0.7705  0.7295  0.7500
Ga  0.8077  0.1923  0.9630

Values from the calculation:
DOS(E_F)   0.604 states/eV/atom
Volume   25.021 A^3/atom
Polymorph energy (0 for the lowest one)   0.1804 eV per atom

=====

# 6
Density functional theory data (PBE) for a relaxed structure of Ho2ErGa6.

Cell: 7.4563 7.4563 3.7865 Å, 90.00 90.00 120.00°
Positions (direct):
Ho  0.3333  0.6667  0.0000
Ho  0.6667  0.3333  0.0000
Er  0.0000  0.0000  0.0000
Ga  0.0000  0.3331  0.5000
Ga  0.0000  0.6669  0.5000
Ga  0.3331  0.0000  0.5000
Ga  0.3331  0.3331  0.5000
Ga  0.6669  0.0000  0.5000
Ga  0.6669  0.6669  0.5000

Values from the calculation:
DOS(E_F)   0.371 states/eV/atom
Volume   20.257 A^3/atom
Polymorph energy (0 for the lowest one)   0.0000 eV per atom